1.
A relaxed structure of Mg2MnRu. Source: the Alexandria database, functional PBEsol.

a b c (Å): 6.2672 6.2672 6.2672
angles (deg): 90.00 90.00 90.00
Last column: nearest neighbours and their distance in Å.
Space group Fm-3m (No. 225)
Unique sites:
Mg 0.2500 0.2500 0.2500 x8  4 Mn 2.71, 4 Ru 2.71
Mn 0.0000 0.0000 0.0000 x4  8 Mg 2.71
Ru 0.0000 0.0000 0.5000 x4  8 Mg 2.71

## Properties
Magnetization: 4.16 μB per formula unit
V: 246 Å³/cell
Energy of formation: 285 meV/atom
E above lowest polymorph: 0.186 eV/atom
VASP energy: -22.23 eV per formula unit
Calculated density: 5.52 Mg/m³


2.
A relaxed structure of Mg2MnRu. Source: the Alexandria database, functional PBEsol.

a b c (Å): 3.9454 3.9454 7.9755
angles (deg): 90.00 90.00 90.00
Last column: nearest neighbours and their distance in Å.
Space group I4/mmm (No. 139)
Unique sites:
Mg 0.0000 0.5000 0.2500 x4  4 Mg 2.79, 4 Mn 2.80, 4 Ru 2.80
Mn 0.0000 0.0000 0.0000 x2  4 Ru 2.79, 8 Mg 2.80
Ru 0.0000 0.0000 0.5000 x2  4 Mn 2.79, 8 Mg 2.80

## Properties
Magnetization: 4.22 μB per formula unit
V: 124 Å³/cell
Energy of formation: 235 meV/atom
E above lowest polymorph: 0.136 eV/atom
VASP energy: -22.43 eV per formula unit
Calculated density: 5.47 Mg/m³


3.
A relaxed structure of Mg2MnRu. Source: the Alexandria database, functional PBEsol.

a b c (Å): 2.8026 4.1197 5.5646
angles (deg): 90.00 103.52 90.00
Last column: nearest neighbours and their distance in Å.
Space group Pm (No. 6)
Unique sites:
Mg 0.0000 0.0000 0.0000 x1  2 Ru 2.67-2.93, 2 Mn 2.74, 4 Mg 2.80-2.87
Mg 0.4187 0.5000 0.7120 x1  1 Mn 2.60, 2 Ru 2.72, 4 Mg 2.80-2.87
Mn 0.5269 0.5000 0.2609 x1  2 Ru 2.45, 3 Mg 2.60-2.74
Ru 0.8894 0.0000 0.4631 x1  2 Mn 2.45, 3 Mg 2.67-2.72

## Properties
Magnetization: 2.77 μB per formula unit
V: 62 Å³/cell
Energy of formation: 275 meV/atom
E above lowest polymorph: 0.176 eV/atom
VASP energy: -22.27 eV per formula unit
Calculated density: 5.44 Mg/m³


4.
A relaxed structure of Mg2MnRu. Source: the Alexandria database, functional PBEsol.

a b c (Å): 3.5088 4.1618 4.2223
angles (deg): 90.00 90.00 90.00
Last column: nearest neighbours and their distance in Å.
Space group Pmmm (No. 47)
Unique sites:
Mg 0.0000 0.0000 0.0000 x1  4 Mg 2.72, 4 Ru 2.74, 4 Mn 2.96
Mg 0.5000 0.5000 0.0000 x1  4 Mg 2.72, 4 Mn 2.74, 4 Ru 2.96
Mn 0.0000 0.5000 0.5000 x1  4 Ru 2.72, 8 Mg 2.74-2.96
Ru 0.5000 0.0000 0.5000 x1  4 Mn 2.72, 8 Mg 2.74-2.96

## Properties
Magnetization: 3.73 μB per formula unit
V: 62 Å³/cell
Energy of formation: 256 meV/atom
E above lowest polymorph: 0.157 eV/atom
VASP energy: -22.34 eV per formula unit
Calculated density: 5.51 Mg/m³


5.
A relaxed structure of Mg2MnRu. Source: the Alexandria database, functional PBEsol.

a b c (Å): 6.2737 6.2737 6.2737
angles (deg): 90.00 90.00 90.00
Last column: nearest neighbours and their distance in Å.
Space group F-43m (No. 216)
Unique sites:
Mg 0.0000 0.0000 0.0000 x4  4 Mn 2.72, 4 Mg 2.72
Mg 0.2500 0.2500 0.2500 x4  4 Ru 2.72, 4 Mg 2.72
Mn 0.2500 0.2500 0.7500 x4  4 Ru 2.72, 4 Mg 2.72
Ru 0.0000 0.0000 0.5000 x4  4 Mn 2.72, 4 Mg 2.72

## Properties
Magnetization: 3.87 μB per formula unit
V: 247 Å³/cell
Energy of formation: 244 meV/atom
E above lowest polymorph: 0.145 eV/atom
VASP energy: -22.39 eV per formula unit
Calculated density: 5.50 Mg/m³


6.
A relaxed structure of MgMn2Ru. Source: the Alexandria database, functional PBEsol.

a b c (Å): 2.6726 2.6726 26.0481
angles (deg): 90.00 90.00 120.00
Last column: nearest neighbours and their distance in Å.
Space group R-3m (No. 166, hexagonal axes)
Unique sites:
Mg 0.0000 0.0000 0.0000 x3  6 Mg 2.67, 6 Mn 2.78
Mn 0.0000 0.0000 0.2447 x6  3 Ru 2.55, 6 Mn 2.67, 3 Mg 2.78
Ru 0.0000 0.0000 0.5000 x3  6 Mn 2.55, 6 Ru 2.67

## Properties
Magnetization: 3.96 μB per formula unit
V: 161 Å³/cell
Energy of formation: 400 meV/atom
VASP energy: -29.81 eV per formula unit
Calculated density: 7.27 Mg/m³


7.
A relaxed structure of Mg2MnRu. Source: the Alexandria database, functional PBEsol.

a b c (Å): 2.8813 2.8813 7.5692
angles (deg): 90.00 90.00 90.00
Last column: nearest neighbours and their distance in Å.
Space group P4mm (No. 99)
Unique sites:
Mg 0.0000 0.0000 0.0000 x1  4 Ru 2.79, 4 Mg 2.88
Mg 0.5000 0.5000 0.3373 x1  4 Mn 2.74, 4 Mg 2.88
Mn 0.0000 0.0000 0.5798 x1  4 Ru 2.41
Ru 0.5000 0.5000 0.7490 x1  4 Mn 2.41

## Properties
Magnetization: 0.59 μB per formula unit
V: 63 Å³/cell
Energy of formation: 99 meV/atom
E above lowest polymorph: 0.000 eV/atom
VASP energy: -22.97 eV per formula unit
Calculated density: 5.41 Mg/m³


8.
A relaxed structure of MgZrMn2Ru. Source: the Alexandria database, functional PBEsol.

a b c (Å): 4.6759 4.6759 4.6961
angles (deg): 90.00 90.00 90.00
Last column: nearest neighbours and their distance in Å.
Space group P4/mmm (No. 123)
Unique sites:
Mg 0.0000 0.0000 0.0000 x1  4 Ru 3.31, 8 Mn 3.31
Zr 0.5000 0.5000 0.5000 x1  4 Mn 2.34, 2 Ru 2.35
Mn 0.0000 0.5000 0.5000 x2  2 Zr 2.34
Ru 0.5000 0.5000 0.0000 x1  2 Zr 2.35

## Properties
Magnetization: 6.10 μB per formula unit
V: 103 Å³/cell
Energy of formation: 1300 meV/atom
VASP energy: -34.00 eV per formula unit
Calculated density: 5.28 Mg/m³


9.
A relaxed structure of MgMn4S8. Source: the Alexandria database, functional PBEsol.

a b c (Å): 6.7837 6.7837 16.4894
angles (deg): 90.00 90.00 120.00
Last column: nearest neighbours and their distance in Å.
Space group R-3m (No. 166, hexagonal axes)
Unique sites:
Mg 0.0000 0.0000 0.0000 x3  6 S 2.48
Mn 0.0000 0.0000 0.5000 x3  6 S 2.31
Mn 0.0000 0.5000 0.0000 x9  6 S 2.32-2.33
S 0.0000 0.0000 0.2571 x6  3 Mn 2.33
S 0.0223 0.5112 0.2520 x18  3 Mn 2.31-2.32, 1 Mg 2.48

## Properties
Magnetization: 10.57 μB per formula unit
V: 657 Å³/cell
Energy relative to the elements, uncorrected: -0.658 eV/atom
VASP energy: -84.39 eV per formula unit
Calculated density: 3.79 Mg/m³


10.
A relaxed structure of MgMn2S. Source: the Alexandria database, functional PBEsol.

a b c (Å): 5.6961 5.6961 5.6961
angles (deg): 90.00 90.00 90.00
Last column: nearest neighbours and their distance in Å.
Space group Fm-3m (No. 225)
Unique sites:
Mg 0.0000 0.0000 0.0000 x4  8 Mn 2.47
Mn 0.2500 0.2500 0.2500 x8  4 S 2.47, 4 Mg 2.47
S 0.0000 0.0000 0.5000 x4  8 Mn 2.47

## Properties
Magnetization: 1.89 μB per formula unit
V: 185 Å³/cell
Energy relative to the elements, uncorrected: 0.466 eV/atom
VASP energy: -23.76 eV per formula unit
Calculated density: 5.97 Mg/m³


11.
A relaxed structure of Mg3MnS. Source: the Alexandria database, functional PBEsol.

a b c (Å): 5.0067 5.0067 5.0067
angles (deg): 90.00 90.00 90.00
Last column: nearest neighbours and their distance in Å.
Space group Pm-3m (No. 221)
Unique sites:
Mg 0.0000 0.0000 0.5000 x3  2 Mn 2.50
Mn 0.0000 0.0000 0.0000 x1  6 Mg 2.50
S 0.5000 0.5000 0.5000 x1  12 Mg 3.54

## Properties
Magnetization: 3.81 μB per formula unit
V: 126 Å³/cell
Energy relative to the elements, uncorrected: 0.748 eV/atom
VASP energy: -15.56 eV per formula unit
Calculated density: 2.12 Mg/m³


12.
A relaxed structure of MgScMnS4. Source: the Alexandria database, functional PBEsol.

a b c (Å): 7.4041 7.4705 10.0644
angles (deg): 90.00 90.00 90.00
Last column: nearest neighbours and their distance in Å.
Space group Imma (No. 74)
Unique sites:
Mg 0.0000 0.2500 0.1265 x4  4 S 2.42-2.44
Sc 0.0000 0.0000 0.5000 x4  6 S 2.54-2.55
Mn 0.2500 0.2500 0.7500 x4  6 S 2.38-2.47
S 0.0000 0.0315 0.7513 x8  1 Mg 2.44, 2 Mn 2.47, 1 Sc 2.54
S 0.2343 0.2500 0.5141 x8  1 Mn 2.38, 1 Mg 2.42, 2 Sc 2.55

## Properties
Magnetization: 4.01 μB per formula unit
V: 557 Å³/cell
Energy relative to the elements, uncorrected: -1.238 eV/atom
VASP energy: -44.28 eV per formula unit
Calculated density: 3.01 Mg/m³